Record 1
Compound: Sm8Dy6Th
Source: Alexandria
Functional: PBE
Structure: optimized geometry

Cell and atoms, written as POSCAR:
```
Sm8Dy6Th
1.0
-8.468 -1.986 0.513
-2.804 -3.507 7.466
-4.945 5.018 5.126
Sm Dy Th
8 6 1
Direct
0.754 0.114 0.718
0.246 0.886 0.282
0.114 0.718 0.754
0.718 0.754 0.114
0.886 0.282 0.246
0.282 0.246 0.886
0.578 0.578 0.578
0.422 0.422 0.422
0.758 0.901 0.463
0.901 0.463 0.758
0.463 0.758 0.901
0.537 0.242 0.099
0.242 0.099 0.537
0.099 0.537 0.242
0.000 0.000 0.000
```

As for the formation enthalpy at 0 K: 11.9 kJ per mole of atoms.

---

Record 2
Compound: TbMnTl2S4
Source: Alexandria
Functional: PBE
Structure: optimized geometry

Cell and atoms, written as POSCAR:
```
TbMnTl2S4
1.0
8.133 0.014 -0.110
0.008 8.134 -0.110
-4.065 -4.068 5.869
Tl Tb S Mn
4 2 8 2
Direct
0.500 0.500 0.000
0.500 0.000 0.000
0.000 0.000 0.500
0.500 0.000 0.500
0.000 0.500 0.500
0.000 0.500 0.000
0.240 0.261 0.047
0.761 0.740 0.547
0.239 0.260 0.453
0.760 0.739 0.953
0.249 0.701 0.475
0.201 0.749 0.975
0.751 0.299 0.525
0.799 0.251 0.025
0.000 0.000 0.000
0.500 0.500 0.500
```

---

Record 3
Compound: Ac7ZnPb2N2
Source: Alexandria
Functional: PBE
Structure: optimized geometry

Cell and atoms, written as POSCAR:
```
Ac7ZnPb2N2
1.0
-3.829 2.536 -2.641
-1.094 -4.441 -2.673
-11.633 -4.593 7.172
Ac N Zn Pb
7 2 1 2
Direct
0.594 0.093 0.814
0.500 0.500 0.000
0.907 0.406 0.186
0.695 0.695 0.610
0.406 0.907 0.186
0.093 0.594 0.814
0.305 0.305 0.390
0.601 0.601 0.798
0.399 0.399 0.202
0.000 0.000 0.000
0.821 0.821 0.358
0.179 0.179 0.642
```

---

Record 4
Compound: CoOs2
Source: Alexandria
Functional: PBE
Structure: optimized geometry

Cell and atoms, written as POSCAR:
```
CoOs2
1.0
-2.105 -1.662 0.381
-0.767 -2.706 -6.415
2.686 -3.169 1.016
Co Os
2 4
Direct
0.553 0.894 0.500
0.002 0.995 0.000
0.894 0.211 0.500
0.336 0.328 0.000
0.661 0.677 0.000
0.220 0.561 0.500
```

The offset from the most stable computed form is 0.16 eV per formula unit. As for the formation enthalpy at 0 K: 9.1 kJ per mole of atoms.

---

Record 5
Compound: CdFe2Os2
Source: Alexandria
Functional: PBE
Structure: optimized geometry

Cell and atoms, written as POSCAR:
```
CdFe2Os2
1.0
-5.309 4.649 2.093
-4.563 -5.681 1.044
0.817 -0.196 2.507
Fe Cd Os
4 2 4
Direct
0.164 0.664 0.500
0.664 0.836 0.500
0.836 0.336 0.500
0.336 0.164 0.500
0.500 0.500 0.000
0.000 0.000 0.000
0.625 0.125 0.000
0.875 0.625 0.000
0.375 0.875 0.000
0.125 0.375 0.000
```

The offset from the most stable computed form is 0.00 eV per formula unit. As for the formation enthalpy at 0 K: 38.9 kJ per mole of atoms.

---

Record 6
Compound: SeBr
Source: Alexandria
Functional: PBE
Structure: optimized geometry

Cell and atoms, written as POSCAR:
```
SeBr
1.0
-0.293 -2.866 1.575
1.038 -1.581 -2.684
4.012 0.335 1.354
Br Se
1 1
Direct
0.000 0.000 0.000
0.500 0.500 0.500
```

---

The Fermi-level density of states results, record by record, are as follows: 1.5346, 0.4777, 0.6782, 0.9658, 1.1132, 0.8348 states/eV per atom.
The VASP energy results, record by record, are as follows: -4.73, -5.24, -5.11, -9.76, -7.66, -1.82 eV per atom.